Entry 1:
Below is a relaxed structure of NaInBiF6, with properties calculated at the GGA-PBE level. Values from VASP.

```
&SYSTEM
  ibrav = 0, nat = 18, ntyp = 4
/
ATOMIC_SPECIES
Na 22.99 Na.upf
In 114.82 In.upf
Bi 208.98 Bi.upf
F 19.00 F.upf
CELL_PARAMETERS angstrom
5.868 0.000 0.000
-2.934 5.082 0.000
0.000 0.000 10.185
ATOMIC_POSITIONS crystal
Na 0.333 0.667 0.250
Na 0.667 0.333 0.750
In 0.333 0.667 0.750
In 0.667 0.333 0.250
Bi 0.000 0.000 0.000
Bi 0.000 0.000 0.500
F 0.008 0.329 0.630
F 0.008 0.680 0.870
F 0.320 0.329 0.870
F 0.320 0.992 0.630
F 0.329 0.008 0.130
F 0.329 0.320 0.370
F 0.671 0.680 0.630
F 0.671 0.992 0.870
F 0.680 0.008 0.370
F 0.680 0.671 0.130
F 0.992 0.320 0.130
F 0.992 0.671 0.370
```

Theoretical density ... 5.04 g/cm3
Formation energy without anion corrections ... -2.365 eV per atom
Calculated total energy ... -4.50 eV/atom
Crystal system ... trigonal

=====

Entry 2:
Below is a relaxed structure of InBiO2F, with properties calculated at the GGA-PBE level. Values from VASP.

```
&SYSTEM
  ibrav = 0, nat = 5, ntyp = 4
/
ATOMIC_SPECIES
In 114.82 In.upf
Bi 208.98 Bi.upf
O 16.00 O.upf
F 19.00 F.upf
CELL_PARAMETERS angstrom
4.383 0.000 0.000
0.000 4.383 0.000
0.000 0.000 4.615
ATOMIC_POSITIONS crystal
In 0.000 0.000 0.000
Bi 0.500 0.500 0.500
O 0.000 0.500 0.500
O 0.500 0.000 0.500
F 0.500 0.500 0.000
```

Theoretical density ... 7.02 g/cm3
Formation energy without anion corrections ... -1.099 eV per atom
Calculated total energy ... -4.78 eV/atom
Crystal system ... tetragonal

=====

Entry 3:
Below is a relaxed structure of InBiO2F, with properties calculated at the GGA-PBE level. Values from VASP.

```
&SYSTEM
  ibrav = 0, nat = 5, ntyp = 4
/
ATOMIC_SPECIES
In 114.82 In.upf
Bi 208.98 Bi.upf
O 16.00 O.upf
F 19.00 F.upf
CELL_PARAMETERS angstrom
4.324 0.000 0.000
0.000 4.324 0.000
0.000 0.000 4.331
ATOMIC_POSITIONS crystal
In 0.000 0.000 0.000
Bi 0.500 0.500 0.500
O 0.000 0.500 0.000
O 0.500 0.000 0.000
F 0.000 0.000 0.500
```

Theoretical density ... 7.69 g/cm3
Formation energy without anion corrections ... -1.130 eV per atom
Calculated total energy ... -4.81 eV/atom
Crystal system ... tetragonal

=====

Entry 4:
Below is a relaxed structure of InBi2PdF, with properties calculated at the GGA-PBE level. Values from VASP.

```
&SYSTEM
  ibrav = 0, nat = 5, ntyp = 4
/
ATOMIC_SPECIES
In 114.82 In.upf
Bi 208.98 Bi.upf
Pd 106.42 Pd.upf
F 19.00 F.upf
CELL_PARAMETERS angstrom
5.522 0.000 0.000
0.000 5.522 0.000
0.000 0.000 4.174
ATOMIC_POSITIONS crystal
In 0.000 0.000 0.000
Bi 0.000 0.500 0.500
Bi 0.500 0.000 0.500
Pd 0.500 0.500 0.500
F 0.500 0.500 0.000
```

Theoretical density ... 8.59 g/cm3
Formation energy without anion corrections ... -0.317 eV per atom
Calculated total energy ... -3.83 eV/atom
Crystal system ... tetragonal

=====

Entry 5:
Below is a relaxed structure of InBiSb2F, with properties calculated at the GGA-PBE level. Values from VASP.

```
&SYSTEM
  ibrav = 0, nat = 5, ntyp = 4
/
ATOMIC_SPECIES
In 114.82 In.upf
Bi 208.98 Bi.upf
Sb 121.76 Sb.upf
F 19.00 F.upf
CELL_PARAMETERS angstrom
5.035 0.000 0.000
0.000 5.035 0.000
0.000 0.000 5.122
ATOMIC_POSITIONS crystal
In 0.000 0.000 0.000
Bi 0.500 0.500 0.000
Sb 0.000 0.500 0.500
Sb 0.500 0.000 0.500
F 0.000 0.000 0.500
```

Theoretical density ... 7.50 g/cm3
Formation energy without anion corrections ... -0.246 eV per atom
Calculated total energy ... -3.59 eV/atom
Crystal system ... tetragonal

=====

Entry 6:
Below is a relaxed structure of ScInBiF2, with properties calculated at the GGA-PBE level. Values from VASP.

```
&SYSTEM
  ibrav = 0, nat = 5, ntyp = 4
/
ATOMIC_SPECIES
Sc 44.96 Sc.upf
In 114.82 In.upf
Bi 208.98 Bi.upf
F 19.00 F.upf
CELL_PARAMETERS angstrom
4.265 0.000 0.000
0.000 4.265 0.000
0.000 0.000 6.172
ATOMIC_POSITIONS crystal
Sc 0.000 0.000 0.000
In 0.500 0.500 0.500
Bi 0.000 0.000 0.500
F 0.000 0.500 0.000
F 0.500 0.000 0.000
```

Theoretical density ... 6.02 g/cm3
Formation energy without anion corrections ... -2.003 eV per atom
Calculated total energy ... -5.34 eV/atom
Crystal system ... tetragonal

=====

Entry 7:
Below is a relaxed structure of InBiSe2F, with properties calculated at the GGA-PBE level. Values from VASP.

```
&SYSTEM
  ibrav = 0, nat = 5, ntyp = 4
/
ATOMIC_SPECIES
In 114.82 In.upf
Bi 208.98 Bi.upf
Se 78.96 Se.upf
F 19.00 F.upf
CELL_PARAMETERS angstrom
5.381 0.000 0.000
0.000 5.381 0.000
0.000 0.000 4.398
ATOMIC_POSITIONS crystal
In 0.000 0.000 0.000
Bi 0.500 0.500 0.000
Se 0.000 0.500 0.500
Se 0.500 0.000 0.500
F 0.500 0.500 0.500
```

Theoretical density ... 6.53 g/cm3
Formation energy without anion corrections ... -0.143 eV per atom
Calculated total energy ... -3.24 eV/atom
Crystal system ... tetragonal

=====

Entry 8:
Below is a relaxed structure of SrInBiF, with properties calculated at the GGA-PBE level. Values from VASP.

```
&SYSTEM
  ibrav = 0, nat = 8, ntyp = 4
/
ATOMIC_SPECIES
Sr 87.62 Sr.upf
In 114.82 In.upf
Bi 208.98 Bi.upf
F 19.00 F.upf
CELL_PARAMETERS angstrom
4.569 0.000 0.000
0.000 4.569 0.000
0.000 0.000 10.594
ATOMIC_POSITIONS crystal
Sr 0.250 0.250 0.118
Sr 0.750 0.750 0.882
In 0.250 0.750 0.500
In 0.750 0.250 0.500
Bi 0.250 0.250 0.712
Bi 0.750 0.750 0.288
F 0.250 0.750 0.000
F 0.750 0.250 0.000
```

Theoretical density ... 6.46 g/cm3
Formation energy without anion corrections ... -1.543 eV per atom
Calculated total energy ... -4.09 eV/atom
Crystal system ... tetragonal

=====

Q: What is the formula in the first record?
A: NaInBiF6